Compound: La5Dy4Ho2
Source: the Alexandria database
Functional: PBE
Structure: optimized geometry Values from VASP.

Calculated values
The energy is -51.33 eV for the cell shown. The excess energy over the best structure of this formula in the dataset is 0.000 eV per atom. Its symmetry is C2/m. Its density of states at the Fermi level is 15.8 states/eV/f.u.

Geometry as Quantum ESPRESSO input:
```
&SYSTEM
  ibrav = 0, nat = 11, ntyp = 3
/
ATOMIC_SPECIES
Ho 164.93 Ho.upf
Dy 162.50 Dy.upf
La 138.91 La.upf
ATOMIC_POSITIONS crystal
Ho 0.716 0.351 0.431
Ho 0.284 0.649 0.569
Dy 0.641 0.797 0.281
Dy 0.359 0.203 0.719
Dy 0.036 0.262 0.073
Dy 0.964 0.738 0.927
La 0.903 0.465 0.806
La 0.177 0.073 0.354
La 0.097 0.535 0.194
La 0.823 0.927 0.646
La 0.500 0.000 0.000
CELL_PARAMETERS angstrom
3.508 0.000 -0.662
-0.200 11.699 -1.058
-0.099 0.210 9.096
```